# Tl7Re | Alexandria | PBE | relaxed
data_Tl7Re
_chemical_formula_sum 'Tl28 Re4'
_cell_length_a 9.585
_cell_length_b 9.585
_cell_length_c 9.585
_cell_angle_alpha 90.00
_cell_angle_beta 90.00
_cell_angle_gamma 90.00
_symmetry_space_group_name_H-M 'F m -3 m'
_symmetry_Int_Tables_number 225
_symmetry_space_group_name_Hall '-F 4 2 3'
loop_
_atom_site_label
_atom_site_type_symbol
_atom_site_fract_x
_atom_site_fract_y
_atom_site_fract_z
Tl1 Tl 0.000 0.000 0.000
Tl2 Tl 0.000 0.250 0.250
Re1 Re 0.000 0.000 0.500
# - size of the total moment (μB per atom) = 0.39
# - total DFT energy (no corrections) (eV per atom) = -3.010
# - crystal system = cubic